Compound: TbThSc2
Source: Alexandria via LeMat-Bulk
Functional: GGA-PBE
Structure: relaxed

Output
relative energy among the computed polymorphs = 0.12 eV per formula unit
space-group type = R-3m (166)
N(E_F) = 17.37 states/eV/cell
E_form = 0.2 eV/f.u.

Cell: 3.4595 3.4595 32.5743 Å, 90.00 90.00 120.00°
Fractional coordinates of all 12 atoms:
1 Tb 0.0000 0.0000 0.0000
2 Tb 0.3333 0.6667 0.6667
3 Tb 0.6667 0.3333 0.3333
4 Th 0.0000 0.0000 0.5000
5 Th 0.3333 0.6667 0.1667
6 Th 0.6667 0.3333 0.8333
7 Sc 0.0000 0.0000 0.2484
8 Sc 0.0000 0.0000 0.7516
9 Sc 0.3333 0.6667 0.4183
10 Sc 0.3333 0.6667 0.9151
11 Sc 0.6667 0.3333 0.0849
12 Sc 0.6667 0.3333 0.5817